Material: Fe2PtSe
Method: DFT, GGA-PBE
State: relaxed

Computed properties:
total energy: -6.538 eV per atom

Geometry as CIF:
```
data_Fe2PtSe
_cell_length_a 2.904
_cell_length_b 2.904
_cell_length_c 6.741
_cell_angle_alpha 90.00
_cell_angle_beta 90.00
_cell_angle_gamma 90.00
_symmetry_space_group_name_H-M 'P 4/m m m'
_symmetry_Int_Tables_number 123
_symmetry_space_group_name_Hall '-P 4 2'
loop_
_atom_site_label
_atom_site_fract_x
_atom_site_fract_y
_atom_site_fract_z
Fe1 0.000 0.000 0.237
Pt1 0.500 0.500 0.500
Se1 0.500 0.500 0.000
```